Entry 1:
Density functional theory data (PBE-GGA) for a relaxed NaPbAuS2 crystal.

Cell lengths 4.900, 7.024, 7.680 Å; angles 101.55, 90.00, 90.00 degrees
Fractional positions:
Na: 0.490 0.000 0.250
Na: 0.510 0.000 0.750
Pb: 0.148 0.500 0.750
Pb: 0.852 0.500 0.250
Au: 0.000 0.000 0.000
Au: 0.000 0.000 0.500
S: 0.733 0.721 0.953
S: 0.267 0.279 0.047
S: 0.267 0.721 0.453
S: 0.733 0.279 0.547

Results
magnetic moment	0.0	μB per cell
ΔE_f (raw)	-0.59	eV/atom
symmetry	P2/c (13)

***

Entry 2:
Density functional theory data (PBE-GGA) for a relaxed SbPt2Au2 crystal.

Cell lengths 6.964, 6.964, 3.931 Å; angles 90.00, 90.00, 90.00 degrees
Fractional positions:
Pt: 0.142 0.358 0.000
Pt: 0.642 0.142 0.000
Pt: 0.858 0.642 0.000
Pt: 0.358 0.858 0.000
Au: 0.156 0.656 0.500
Au: 0.844 0.344 0.500
Au: 0.656 0.844 0.500
Au: 0.344 0.156 0.500
Sb: 0.500 0.500 0.000
Sb: 0.000 0.000 0.000

Results
magnetic moment	0.0	μB per cell
ΔE_f (raw)	-0.03	eV/atom
symmetry	P4/mbm (127)
distance to the lowest polymorph of the same formula	0.000	eV per atom

***

Entry 3:
Density functional theory data (PBE-GGA) for a relaxed PbO2F crystal.

Cell lengths 6.398, 6.398, 6.398 Å; angles 31.53, 31.53, 31.53 degrees
Last column: magnetic moment on the atom in μB.
Fractional positions:
O: 0.107 0.107 0.107  0.25
O: 0.893 0.893 0.893  0.25
Pb: 0.000 0.000 0.000  -0.07
F: 0.500 0.500 0.500  0.54

Results
magnetic moment	1.0	μB per cell
ΔE_f (raw)	0.74	eV/atom
symmetry	R-3m (166)
distance to the lowest polymorph of the same formula	1.155	eV per atom

***

Entry 4:
Density functional theory data (PBE-GGA) for a relaxed Rb5PrS4 crystal.

Cell lengths 4.628, 8.651, 10.381 Å; angles 114.62, 102.88, 90.00 degrees
Fractional positions:
S: 0.335 0.835 0.670
S: 0.000 0.779 0.000
S: 0.000 0.221 0.000
S: 0.665 0.165 0.330
Rb: 0.170 0.418 0.341
Rb: 0.170 0.922 0.341
Rb: 0.830 0.078 0.659
Rb: 0.830 0.582 0.659
Rb: 0.500 0.500 0.000
Pr: 0.500 0.000 0.000

Results
magnetic moment	0.0	μB per cell
ΔE_f (raw)	-1.21	eV/atom
symmetry	Immm (71)

***

Entry 5:
Density functional theory data (PBE-GGA) for a relaxed Be3Nb2Ir crystal.

Cell lengths 4.805, 4.805, 4.715 Å; angles 89.99, 120.62, 120.02 degrees
Fractional positions:
Be: 0.500 0.500 0.500
Be: 0.500 0.000 0.500
Be: 0.000 0.000 0.500
Ir: 0.000 0.000 0.000
Nb: 0.238 0.619 0.857
Nb: 0.762 0.381 0.143

Results
magnetic moment	0.0	μB per cell
symmetry	R-3m (166)
distance to the lowest polymorph of the same formula	0.000	eV per atom
formation enthalpy at 0 K	-0.40	eV per atom

***

Entry 6:
Density functional theory data (PBE-GGA) for a relaxed ScTl2Ni crystal.

Cell lengths 4.355, 4.358, 4.345 Å; angles 90.00, 90.00, 90.00 degrees
Fractional positions:
Tl: 0.500 0.500 0.000
Tl: 0.000 0.000 0.000
Sc: 0.000 0.500 0.500
Ni: 0.500 0.000 0.500

Results
magnetic moment	0.0	μB per cell
symmetry	P4/mmm (123)
formation enthalpy at 0 K	0.04	eV per atom

***

| no. | total DFT energy (no corrections) (eV per atom) |
| --- | --- |
| 1 | -3.902 |
| 2 | -4.578 |
| 3 | -3.134 |
| 4 | -3.824 |
| 5 | -7.095 |
| 6 | -4.169 |